Entry 1:
Crystalline AlAsRhSe2 at its relaxed geometry, computed with PBE.

Cell lengths 4.7712, 4.7712, 4.7439 Å; angles 90.00, 90.00, 90.00 degrees
Last column: nearest neighbours and their distance in Å.
Fractional coordinates of all 5 atoms:
As 0.0000 0.0000 0.5000  2 Al 2.37
Rh 0.5000 0.5000 0.5000  8 Se 3.36, 4 As 3.37
Al 0.0000 0.0000 0.0000  2 As 2.37, 4 Se 2.39
Se 0.0000 0.5000 0.0000  2 Al 2.39
Se 0.5000 0.0000 0.0000  2 Al 2.39

energy above the most stable polymorph in this dataset	264	meV per atom
total magnetic moment	0.31	μB per formula unit
DOS(E_F)	4.1	states/eV/cell
symmetry	P4/mmm



Entry 2:
Crystalline CaNdSm2As4 at its relaxed geometry, computed with PBE.

Cell lengths 5.9868, 5.9868, 7.3465 Å; angles 114.04, 114.04, 90.00 degrees
Last column: nearest neighbours and their distance in Å.
Fractional coordinates of all 8 atoms:
Ca 0.4372 0.4372 0.0000  6 As 2.99-3.03
Nd 0.9371 0.9371 0.0000  6 As 2.97-2.99
Sm 0.1871 0.6871 0.5000  6 As 2.99-3.00
Sm 0.6871 0.1871 0.5000  6 As 2.99-3.00
As 0.9372 0.4373 0.0000  2 Nd 2.99, 2 Ca 2.99, 2 Sm 3.00
As 0.4373 0.9372 0.0000  2 Nd 2.99, 2 Ca 2.99, 2 Sm 3.00
As 0.1845 0.1845 0.4948  1 Nd 2.97, 4 Sm 2.99, 1 Ca 3.03
As 0.6897 0.6897 0.5052  1 Nd 2.97, 4 Sm 2.99, 1 Ca 3.03

total magnetic moment	0.00	μB per formula unit
DOS(E_F)	4.6	states/eV/cell
symmetry	I4/mmm
formation energy from the elements	-1.3547	eV/atom



Entry 3:
Crystalline KBaFe2 at its relaxed geometry, computed with PBE.

Cell lengths 6.2245, 6.2245, 8.3364 Å; angles 52.66, 52.66, 37.59 degrees
Last column: nearest neighbours and their distance in Å.
Fractional coordinates of all 4 atoms:
Ba 0.7500 0.7500 0.7500  6 Fe 3.26-3.37
Fe 0.0087 0.0087 0.8064  2 Fe 2.28
Fe 0.4913 0.4913 0.6936  2 Fe 2.28
K 0.2500 0.2500 0.2500  6 Fe 3.54-3.56

energy above the most stable polymorph in this dataset	165	meV per atom
total magnetic moment	4.75	μB per formula unit
DOS(E_F)	4.1	states/eV/cell
symmetry	C2/m
formation energy from the elements	0.8055	eV/atom



Entry 4:
Crystalline KLa2Tl at its relaxed geometry, computed with PBE.

Cell lengths 5.9776, 3.6681, 6.7435 Å; angles 82.04, 90.00, 90.00 degrees
Last column: nearest neighbours and their distance in Å.
Fractional coordinates of all 4 atoms:
K 0.5000 0.7500 0.7500  2 Tl 3.61, 2 K 3.67, 4 La 3.83
La 0.0000 0.0355 0.0476  2 La 3.20-3.33, 2 Tl 3.42
La 0.0000 0.4645 0.4524  2 La 3.20-3.33, 2 Tl 3.42
Tl 0.5000 0.2500 0.2500  4 La 3.42, 2 K 3.61, 2 Tl 3.67

energy above the most stable polymorph in this dataset	84	meV per atom
total magnetic moment	0.00	μB per formula unit
DOS(E_F)	4.3	states/eV/cell
symmetry	P2/m
formation energy from the elements	0.0677	eV/atom